# 1
A geometry-optimized Pm2Sm3YSe6 structure, computed with PBE-GGA.

## Properties
**Volume**: 25.56 Å³/atom
**Formation energy without anion corrections**: -1.82 eV/atom
**DOS at the Fermi energy**: 5.54 states/eV/cell
**Raw total energy**: -6.07 eV/atom

Geometry as POSCAR:
```
Pm2Sm3YSe6
1.0
3.599 -6.264 0.000
3.599 6.264 0.000
-2.407 0.000 6.804
Pm Sm Y Se
2 3 1 6
direct
0.167 0.833 0.000
0.833 0.167 0.000
0.000 0.000 0.500
0.329 0.671 0.500
0.671 0.329 0.500
0.500 0.500 0.000
0.091 0.417 0.752
0.257 0.257 0.251
0.417 0.091 0.752
0.583 0.909 0.248
0.743 0.743 0.749
0.909 0.583 0.248
```

# 2
A geometry-optimized Pm2SmYSe4 structure, computed with PBE-GGA.

## Properties
**Volume**: 25.52 Å³/atom
**Formation energy without anion corrections**: -1.81 eV/atom
**DOS at the Fermi energy**: 4.81 states/eV/cell
**Raw total energy**: -6.14 eV/atom

Geometry as POSCAR:
```
Pm2SmYSe4
1.0
7.234 0.000 0.000
0.000 4.112 0.000
-2.343 0.000 6.864
Pm Sm Y Se
2 1 1 4
direct
0.000 0.000 0.000
0.500 0.500 0.000
0.000 0.500 0.500
0.500 0.000 0.500
0.252 0.000 0.745
0.256 0.500 0.258
0.744 0.500 0.742
0.748 0.000 0.255
```